Below is an optimized crystal structure of PuAgO, with properties calculated at the PBE level.

a b c (Å): 6.6330 3.8163 9.7470
angles (deg): 90.00 90.16 90.00
Closest atoms and distances in Å follow each position.
Space group C2/m (No. 12)
Asymmetric unit:
Pu (0.1659, 0.0000, 0.3491) [4 per cell]  4 O 2.28-2.37
Ag (0.1661, 0.0000, 0.9139) [4 per cell]  3 Ag 2.77
O (0.1668, 0.0000, 0.5922) [4 per cell]  4 Pu 2.28-2.37

Calculated values
crystal system: monoclinic
formation energy from raw total energies: -1.500 eV per atom
DFT total energy: -8.88 eV/atom
spin magnetization: 1.8285 μB per atom

---

Below is an optimized crystal structure of Pm4Dy5, with properties calculated at the PBE level.

a b c (Å): 10.7772 10.7772 5.0649
angles (deg): 90.00 90.00 90.00
Closest atoms and distances in Å follow each position.
Space group I4/mmm (No. 139)
Asymmetric unit:
Pm (0.1667, 0.1667, 0.0000) [8 per cell]  4 Pm 3.59, 8 Dy 3.59
Dy (0.0000, 0.0000, 0.5000) [2 per cell]  8 Pm 3.59, 4 Dy 3.60
Dy (0.0000, 0.3344, 0.5000) [8 per cell]  6 Dy 3.57-3.60, 6 Pm 3.59

Calculated values
crystal system: tetragonal
DFT total energy: -4.65 eV/atom
formation enthalpy at 0 K: 1.6 kJ/mol of atoms
spin magnetization: 0.0000 μB per atom

---

Below is an optimized crystal structure of BeCrAg2, with properties calculated at the PBE level.

a b c (Å): 2.9176 3.9695 5.4778
angles (deg): 90.00 104.42 90.00
Closest atoms and distances in Å follow each position.
Space group P2/m (No. 10)
Asymmetric unit:
Be (0.0000, 0.0000, 0.0000) [1 per cell]  4 Ag 2.47, 2 Cr 2.74
Cr (0.0000, 0.0000, 0.5000) [1 per cell]  2 Be 2.74, 8 Ag 2.83-2.86, 2 Cr 2.92
Ag (0.3860, 0.5000, 0.2313) [2 per cell]  2 Be 2.47

Calculated values
crystal system: monoclinic
DFT total energy: -4.32 eV/atom
formation enthalpy at 0 K: 43.0 kJ/mol of atoms
spin magnetization: 0.9755 μB per atom

---

Below is an optimized crystal structure of La4TaPt2, with properties calculated at the PBE level.

a b c (Å): 5.7399 5.7399 13.7798
angles (deg): 90.00 90.00 90.00
Closest atoms and distances in Å follow each position.
Space group I4/mmm (No. 139)
Asymmetric unit:
La (0.0000, 0.0000, 0.2032) [4 per cell]  1 Pt 2.69, 1 Ta 2.80
La (0.0000, 0.5000, 0.0000) [4 per cell]  2 Ta 2.87, 4 Pt 3.19
Ta (0.0000, 0.0000, 0.0000) [2 per cell]  6 La 2.80-2.87
Pt (0.0000, 0.0000, 0.3987) [4 per cell]  1 La 2.69, 1 Pt 2.79

Calculated values
crystal system: tetragonal
DFT total energy: -6.23 eV/atom
formation enthalpy at 0 K: 0.4 kJ/mol of atoms
spin magnetization: 0.0000 μB per atom

---

Below is an optimized crystal structure of TcHPd, with properties calculated at the PBE level.

a b c (Å): 5.2262 4.3733 5.7504
angles (deg): 90.00 90.00 90.00
Closest atoms and distances in Å follow each position.
Space group Pnma (No. 62)
Asymmetric unit:
Tc (0.0675, 0.2500, 0.1205) [4 per cell]  1 H 1.80
H (0.2332, 0.7500, 0.3663) [4 per cell]  2 Pd 1.74-1.79, 1 Tc 1.80
Pd (0.1066, 0.2500, 0.6000) [4 per cell]  2 H 1.74-1.79

Calculated values
crystal system: orthorhombic
energy above the lowest structure with this stoichiometry: 262 meV per atom
DFT total energy: -6.09 eV/atom
spin magnetization: 0.0000 μB per atom